The following is a DFT calculation (PBE) of a relaxed MgCoCuSn2 crystal.

SG   P4/mmm (123)
Crystal system   tetragonal

```
data_MgCoCuSn2
_cell_length_a 4.7984
_cell_length_b 4.8375
_cell_length_c 4.7984
_cell_angle_alpha 90.00
_cell_angle_beta 90.00
_cell_angle_gamma 90.00
_symmetry_space_group_name_H-M 'P 1'
_symmetry_Int_Tables_number 1
loop_
_symmetry_equiv_pos_as_xyz
'x,y,z'
loop_
_atom_site_label
_atom_site_type_symbol
_atom_site_fract_x
_atom_site_fract_y
_atom_site_fract_z
Mg1 Mg 0.0000 0.5000 0.0000
Co1 Co 0.0000 0.0000 0.0000
Sn1 Sn 0.0000 0.0000 0.5000
Sn2 Sn 0.5000 0.0000 0.0000
Cu1 Cu 0.5000 0.5000 0.5000
```

The following is a DFT calculation (PBE) of a relaxed MgCoCuSn crystal.

SG   F-43m (216)
Crystal system   cubic

```
data_MgCoCuSn
_cell_length_a 4.4199
_cell_length_b 4.4199
_cell_length_c 4.4199
_cell_angle_alpha 60.00
_cell_angle_beta 60.00
_cell_angle_gamma 60.00
_symmetry_space_group_name_H-M 'P 1'
_symmetry_Int_Tables_number 1
loop_
_symmetry_equiv_pos_as_xyz
'x,y,z'
loop_
_atom_site_label
_atom_site_type_symbol
_atom_site_fract_x
_atom_site_fract_y
_atom_site_fract_z
Mg1 Mg 0.0000 0.0000 0.0000
Co1 Co 0.7500 0.7500 0.7500
Sn1 Sn 0.5000 0.5000 0.5000
Cu1 Cu 0.2500 0.2500 0.2500
```

The following is a DFT calculation (PBE) of a relaxed MgTaCoCu crystal.

SG   F-43m (216)
Crystal system   cubic

```
data_MgTaCoCu
_cell_length_a 4.3334
_cell_length_b 4.3334
_cell_length_c 4.3334
_cell_angle_alpha 60.00
_cell_angle_beta 60.00
_cell_angle_gamma 60.00
_symmetry_space_group_name_H-M 'P 1'
_symmetry_Int_Tables_number 1
loop_
_symmetry_equiv_pos_as_xyz
'x,y,z'
loop_
_atom_site_label
_atom_site_type_symbol
_atom_site_fract_x
_atom_site_fract_y
_atom_site_fract_z
Mg1 Mg 0.5000 0.5000 0.5000
Co1 Co 0.7500 0.7500 0.7500
Cu1 Cu 0.2500 0.2500 0.2500
Ta1 Ta 0.0000 0.0000 0.0000
```

The following is a DFT calculation (PBE) of a relaxed TbMgCoCu crystal.

SG   F-43m (216)
Crystal system   cubic

```
data_TbMgCoCu
_cell_length_a 4.6307
_cell_length_b 4.6307
_cell_length_c 4.6307
_cell_angle_alpha 60.00
_cell_angle_beta 60.00
_cell_angle_gamma 60.00
_symmetry_space_group_name_H-M 'P 1'
_symmetry_Int_Tables_number 1
loop_
_symmetry_equiv_pos_as_xyz
'x,y,z'
loop_
_atom_site_label
_atom_site_type_symbol
_atom_site_fract_x
_atom_site_fract_y
_atom_site_fract_z
Co1 Co 0.5000 0.5000 0.5000
Mg1 Mg 0.2500 0.2500 0.2500
Tb1 Tb 0.7500 0.7500 0.7500
Cu1 Cu 0.0000 0.0000 0.0000
```

What final energy values result from the calculations? In sequence: -19.65; -16.92; -24.54; -17.62 eV per formula unit.